Material: Nb2H2Ru3
Method: DFT, PBE
State: relaxed

Cell: 2.8776 4.4721 13.5905 Å, 90.00 90.00 90.00°
Closest atoms and distances in Å follow each position.
Space group Immm (No. 71)
Symmetry-distinct sites (fractional):
1 Nb 0.0000 0.0000 0.1275 [4 per cell]  2 H 1.79
2 H 0.0000 0.5000 0.4513 [4 per cell]  1 H 1.32
3 Ru 0.0000 0.0000 0.3135 [4 per cell]  5 Nb 2.53-2.78
4 Ru 0.0000 0.5000 0.0000 [2 per cell]  8 H 2.74, 4 Nb 2.83, 6 Ru 2.88-2.91

density of states at the Fermi level	11.7	states/eV per cell
calculated total energy	-105.54	eV/cell
spin magnetization	0.076	μB per atom

Material: Sm2DyY2Th
Method: DFT, PBE
State: relaxed

Cell: 6.9887 9.8474 5.6450 Å, 90.00 90.00 90.00°
Closest atoms and distances in Å follow each position.
Space group Pnnm (No. 58)
Symmetry-distinct sites (fractional):
1 Sm 0.2475 0.1660 0.0000 [4 per cell]  5 Y 3.27-3.52
2 Dy 0.0000 0.0000 0.5000 [2 per cell]  2 Th 3.49, 6 Sm 3.69-3.73, 6 Y 3.70-3.72
3 Y 0.2494 0.8330 0.0000 [4 per cell]  5 Sm 3.27-3.52
4 Th 0.0000 0.5000 0.0000 [2 per cell]  2 Dy 3.49, 6 Y 3.71, 6 Sm 3.71-3.72

calculated formation energy	64	meV per atom
density of states at the Fermi level	17.0	states/eV per cell
spin magnetization	0.000	μB per atom

Material: Tm2TlIr
Method: DFT, PBE
State: relaxed

Cell: 3.9949 3.9949 23.3880 Å, 90.00 90.00 120.00°
Closest atoms and distances in Å follow each position.
Space group R3m (No. 160, hexagonal axes)
Symmetry-distinct sites (fractional):
1 Tm 0.0000 0.0000 0.0000 [3 per cell]  3 Ir 2.74
2 Tm 0.0000 0.0000 0.2078 [3 per cell]  3 Ir 2.72
3 Tl 0.0000 0.0000 0.4380 [3 per cell]  6 Tm 3.34-3.36
4 Ir 0.0000 0.0000 0.6032 [3 per cell]  6 Tm 2.72-2.74

calculated formation energy	-535	meV per atom
density of states at the Fermi level	6.6	states/eV per cell
ΔE to the lowest computed polymorph	113.5	meV per atom
spin magnetization	0.000	μB per atom

Material: BeInCl2
Method: DFT, PBE
State: relaxed

Cell: 7.0791 7.0791 7.0791 Å, 90.00 90.00 90.00°
Closest atoms and distances in Å follow each position.
Space group F-43m (No. 216)
Symmetry-distinct sites (fractional):
1 Be 0.0000 0.0000 0.0000 [4 per cell]  4 Cl 3.07, 4 In 3.07
2 In 0.2500 0.2500 0.2500 [4 per cell]  4 Cl 3.07, 4 Be 3.07
3 Cl 0.0000 0.0000 0.5000 [4 per cell]  4 Cl 3.07, 4 In 3.07
4 Cl 0.2500 0.2500 0.7500 [4 per cell]  4 Cl 3.07, 4 Be 3.07

E_form (uncorrected)	0.29	eV/atom
density of states at the Fermi level	6.2	states/eV per cell
ΔE to the lowest computed polymorph	1038.3	meV per atom
spin magnetization	0.204	μB per atom

Material: LaPuZnHg
Method: DFT, PBE
State: relaxed

Cell: 7.5485 7.5485 7.5485 Å, 90.00 90.00 90.00°
Closest atoms and distances in Å follow each position.
Space group F-43m (No. 216)
Symmetry-distinct sites (fractional):
1 La 0.0000 0.0000 0.0000 [4 per cell]  4 Hg 3.27, 4 Zn 3.27
2 Pu 0.0000 0.0000 0.5000 [4 per cell]  4 Zn 3.27, 4 Hg 3.27
3 Zn 0.2500 0.2500 0.2500 [4 per cell]  4 La 3.27, 4 Pu 3.27
4 Hg 0.2500 0.2500 0.7500 [4 per cell]  4 La 3.27, 4 Pu 3.27

calculated formation energy	-195	meV per atom
density of states at the Fermi level	46.8	states/eV per cell
spin magnetization	1.532	μB per atom

Material: Sm2YTe4
Method: DFT, PBE
State: relaxed

Cell: 4.2759 14.5969 15.1698 Å, 90.00 90.00 90.00°
Closest atoms and distances in Å follow each position.
Space group Cmcm (No. 63)
Symmetry-distinct sites (fractional):
1 Sm 0.0000 0.1316 0.0702 [8 per cell]  6 Te 3.07-3.22
2 Y 0.0000 0.3720 0.2500 [4 per cell]  6 Te 3.11-3.16
3 Te 0.0000 0.0266 0.2500 [4 per cell]  2 Y 3.11, 2 Sm 3.13
4 Te 0.0000 0.2192 0.6243 [8 per cell]  2 Y 3.16, 3 Sm 3.16-3.22
5 Te 0.0000 0.5000 0.0000 [4 per cell]  4 Sm 3.07

E_form (uncorrected)	-1.37	eV/atom
density of states at the Fermi level	11.5	states/eV per cell
ΔE to the lowest computed polymorph	35.1	meV per atom
spin magnetization	0.000	μB per atom

Material: RbHfNb2
Method: DFT, PBE
State: relaxed

Cell: 5.0786 5.0786 20.4809 Å, 90.00 90.00 90.00°
Closest atoms and distances in Å follow each position.
Space group I4_1/amd (No. 141, origin choice 2)
Symmetry-distinct sites (fractional):
1 Rb 0.0000 0.2500 0.3750 [4 per cell]  4 Hf 3.59, 8 Nb 3.82
2 Hf 0.0000 0.2500 0.8750 [4 per cell]  4 Nb 2.86
3 Nb 0.0000 0.0000 0.0000 [8 per cell]  2 Nb 2.54

calculated formation energy	1761	meV per atom
density of states at the Fermi level	33.8	states/eV per cell
ΔE to the lowest computed polymorph	203.3	meV per atom
spin magnetization	0.000	μB per atom

Material: RbPbSe2Br
Method: DFT, PBE
State: relaxed

Cell: 5.4871 5.4871 6.0727 Å, 90.00 90.00 90.00°
Closest atoms and distances in Å follow each position.
Space group P4/mmm (No. 123)
Symmetry-distinct sites (fractional):
1 Rb 0.0000 0.0000 0.0000 [1 per cell]  4 Br 3.88, 8 Se 4.09
2 Pb 0.5000 0.5000 0.5000 [1 per cell]  4 Se 2.74, 2 Br 3.04
3 Se 0.0000 0.5000 0.5000 [2 per cell]  2 Pb 2.74
4 Br 0.5000 0.5000 0.0000 [1 per cell]  2 Pb 3.04

E_form (uncorrected)	-0.54	eV/atom
density of states at the Fermi level	3.1	states/eV per cell
ΔE to the lowest computed polymorph	0.0	meV per atom
spin magnetization	0.000	μB per atom

Material: CeSc4Ga5
Method: DFT, PBE
State: relaxed

Cell: 3.3354 3.3354 17.7701 Å, 90.00 90.00 90.00°
Closest atoms and distances in Å follow each position.
Space group P4/mmm (No. 123)
Symmetry-distinct sites (fractional):
1 Ce 0.0000 0.0000 0.0000 [1 per cell]  8 Ga 3.14, 4 Ce 3.34
2 Sc 0.0000 0.0000 0.2126 [2 per cell]  8 Ga 2.91
3 Sc 0.0000 0.0000 0.4044 [2 per cell]  8 Ga 2.91
4 Ga 0.5000 0.5000 0.1169 [2 per cell]  4 Sc 2.91, 4 Ce 3.14
5 Ga 0.5000 0.5000 0.3087 [2 per cell]  8 Sc 2.91
6 Ga 0.5000 0.5000 0.5000 [1 per cell]  8 Sc 2.91

calculated formation energy	-577	meV per atom
density of states at the Fermi level	6.8	states/eV per cell
spin magnetization	0.042	μB per atom

Material: ZrTl2Pt
Method: DFT, PBE
State: relaxed

Cell: 3.3720 3.3720 27.0577 Å, 90.00 90.00 120.00°
Closest atoms and distances in Å follow each position.
Space group R-3m (No. 166, hexagonal axes)
Symmetry-distinct sites (fractional):
1 Zr 0.0000 0.0000 0.0000 [3 per cell]  6 Tl 3.13, 6 Zr 3.37
2 Tl 0.0000 0.0000 0.2428 [6 per cell]  3 Pt 2.83, 3 Zr 3.13
3 Pt 0.0000 0.0000 0.5000 [3 per cell]  6 Tl 2.83

calculated formation energy	80	meV per atom
density of states at the Fermi level	7.0	states/eV per cell
ΔE to the lowest computed polymorph	359.5	meV per atom
spin magnetization	0.000	μB per atom

Material: BaScI2O
Method: DFT, PBE
State: relaxed

Cell: 6.1131 6.1131 3.9865 Å, 90.00 90.00 90.00°
Closest atoms and distances in Å follow each position.
Space group P4/mmm (No. 123)
Symmetry-distinct sites (fractional):
1 Ba 0.0000 0.0000 0.0000 [1 per cell]  8 I 3.65, 2 Ba 3.99
2 Sc 0.5000 0.5000 0.5000 [1 per cell]  2 O 1.99
3 I 0.0000 0.5000 0.5000 [2 per cell]  2 Sc 3.06
4 O 0.5000 0.5000 0.0000 [1 per cell]  2 Sc 1.99

E_form (uncorrected)	-1.78	eV/atom
density of states at the Fermi level	1.8	states/eV per cell
ΔE to the lowest computed polymorph	0.0	meV per atom
spin magnetization	0.035	μB per atom

Material: NaPmCuS2
Method: DFT, PBE
State: relaxed

Cell: 6.6464 4.7790 7.8132 Å, 90.00 95.18 90.00°
Closest atoms and distances in Å follow each position.
Space group P2/c (No. 13)
Symmetry-distinct sites (fractional):
1 Na 0.0000 0.0709 0.2500 [2 per cell]  4 S 2.88-2.93
2 Pm 0.5000 0.4929 0.7500 [2 per cell]  4 S 2.78-2.80, 4 Cu 3.06-3.11
3 Cu 0.5000 0.0000 0.0000 [2 per cell]  2 S 2.20
4 S 0.2406 0.2889 0.9834 [4 per cell]  1 Cu 2.20

E_form (uncorrected)	-1.01	eV/atom
density of states at the Fermi level	5.7	states/eV per cell
spin magnetization	0.000	μB per atom